Density functional theory data (GGA-PBE) for a geometry-optimized Hf2MgCd2 structure.

Output
E_tot in eV/atom: -4.483
Crystal system: tetragonal
Magnetization in μB/f.u.: 0.00

The structure in extended XYZ format:
```
10
Lattice="-1.0555 -0.1822 7.9008 -1.2726 -7.8630 -0.3513 3.4112 -0.5719 0.4425" Properties=species:S:1:pos:R:3 pbc="T T T"
Mg 0.0000 0.0000 0.0000
Mg -1.1640 -4.0226 3.7747
Hf 0.6740 -5.5833 1.3273
Hf -0.0579 -6.9360 5.2213
Hf 0.4091 -3.0337 6.6646
Hf 1.1410 -1.6811 2.7706
Cd -1.4984 -6.9108 2.6200
Cd -1.7199 -5.1097 6.6549
Cd -0.8296 -1.1344 4.9294
Cd -0.6081 -2.9354 0.8945
```

=====

Density functional theory data (GGA-PBE) for a geometry-optimized HfMgCd4 structure.

Output
E_tot in eV/atom: -2.543
Crystal system: monoclinic
Magnetization in μB/f.u.: 0.00

The structure in extended XYZ format:
```
6
Lattice="4.8381 0.0000 0.0000 2.4191 3.9527 -1.3845 2.4191 -1.8200 7.4313" Properties=species:S:1:pos:R:3 pbc="T T T"
Hf 0.0000 0.0000 0.0000
Mg 4.8381 1.0663 3.0234
Cd 4.8381 3.1397 0.5163
Cd 4.8381 -1.0071 5.5304
Cd 7.2572 0.3119 5.0681
Cd 2.4191 1.8207 0.9786
```

=====

Density functional theory data (GGA-PBE) for a geometry-optimized HfMg4Cd5 structure.

Output
E_tot in eV/atom: -2.177
Crystal system: tetragonal
Magnetization in μB/f.u.: 0.00

The structure in extended XYZ format:
```
10
Lattice="3.2501 0.0000 0.0000 0.0000 3.2501 0.0000 0.0000 0.0000 20.1000" Properties=species:S:1:pos:R:3 pbc="T T T"
Hf 0.0000 0.0000 0.0000
Mg 0.0000 0.0000 4.0460
Mg 0.0000 0.0000 8.0308
Mg 0.0000 0.0000 12.0692
Mg 0.0000 0.0000 16.0540
Cd 1.6251 1.6251 2.0570
Cd 1.6251 1.6251 6.0446
Cd 1.6251 1.6251 10.0500
Cd 1.6251 1.6251 14.0554
Cd 1.6251 1.6251 18.0430
```

=====

Density functional theory data (GGA-PBE) for a geometry-optimized Hf2MgCdN structure.

Output
E_tot in eV/atom: -6.744
Crystal system: tetragonal
Formation energy without anion corrections in eV per atom: -0.60
Magnetization in μB/f.u.: 0.00

The structure in extended XYZ format:
```
5
Lattice="4.4237 0.0000 0.0000 0.0000 4.4237 0.0000 0.0000 0.0000 4.4090" Properties=species:S:1:pos:R:3 pbc="T T T"
Mg 0.0000 0.0000 2.2045
N 0.0000 0.0000 0.0000
Hf 0.0000 2.2119 0.0000
Hf 2.2119 0.0000 0.0000
Cd 2.2119 2.2119 2.2045
```

=====

Number 1 is which compound? Hf2MgCd2

=====

The lowest E_tot belongs to which entry? Hf2MgCdN